Here is a relaxed HgIrSCl2 crystal from the Alexandria database. Energies are from PBE. Values from VASP.

```
&SYSTEM
  ibrav = 0, nat = 5, ntyp = 4
/
ATOMIC_SPECIES
Cl 35.45 Cl.upf
S 32.06 S.upf
Hg 200.59 Hg.upf
Ir 192.22 Ir.upf
CELL_PARAMETERS angstrom
5.067 0.000 0.000
0.000 5.067 0.000
0.000 0.000 5.149
ATOMIC_POSITIONS crystal
Cl 0.000 0.500 0.000
S 0.000 0.000 0.500
Cl 0.500 0.000 0.000
Hg 0.000 0.000 0.000
Ir 0.500 0.500 0.500
```

Formation energy from raw total energies (eV per atom): 1.271
Total magnetic moment (μB per formula unit): 2.81
Crystal system: tetragonal
D(E_F) (states/eV per atom): 1.9281
Space group: P4/mmm (123)
Polymorph energy (0 for the lowest one) (eV per atom): 1.185